A geometry-optimized ErPu3As4 structure. Source: Alexandria, functional PBE.

Cell lengths 4.1247, 7.1352, 7.1352 Å; angles 109.48, 90.00, 90.00 degrees
Last column: nearest neighbours and their distance in Å.
Fractional positions:
Pu 0.0000 0.0000 0.5000  6 As 2.91
Pu 0.5000 0.5000 0.5000  6 As 2.92
Pu 0.0000 0.5000 0.0000  6 As 2.91
As 0.0000 0.7501 0.7501  4 Pu 2.91-2.92, 2 Er 2.91
As 0.5000 0.7502 0.2498  1 Er 2.91, 5 Pu 2.91-2.92
As 0.5000 0.2498 0.7502  1 Er 2.91, 5 Pu 2.91-2.92
As 0.0000 0.2499 0.2499  4 Pu 2.91-2.92, 2 Er 2.91
Er 0.5000 0.0000 0.0000  6 As 2.91

Calculated values
The size of the total moment is 1.867 μB/atom. As for the space-group type: Cmmm (65). Its raw total energy is -0.692 Ry/atom.